This record from Alexandria describes a relaxed NaCaMg2Ge crystal. The functional is GGA-PBE.

Summary:
V ... 157 Å³ per cell
DOS at the Fermi energy ... 4.63 states/eV/f.u.
Uncorrected energy ... -2.2340 eV per atom

Cell and atoms, written as CIF:
```
data_NaCaMg2Ge
_cell_length_a 5.2336
_cell_length_b 5.2336
_cell_length_c 5.7369
_cell_angle_alpha 90.00
_cell_angle_beta 90.00
_cell_angle_gamma 90.00
_symmetry_space_group_name_H-M 'P 4/m m m'
_symmetry_Int_Tables_number 123
_symmetry_space_group_name_Hall '-P 4 2'
loop_
_atom_site_label
_atom_site_type_symbol
_atom_site_fract_x
_atom_site_fract_y
_atom_site_fract_z
Na1 Na 0.0000 0.0000 0.0000
Ca1 Ca 0.5000 0.5000 0.0000
Mg1 Mg 0.0000 0.5000 0.5000
Ge1 Ge 0.5000 0.5000 0.5000
```